*P*
Compound: LiSiNiB
Source: the Open Quantum Materials Database
Functional: PBE
Structure: optimized geometry

The total magnetization is 0.0 μB/cell. The density is 4.47 g/cm3.

The space group is F-43m (No. 216) and the conventional cell measures 5.3757, 5.3757 and 5.3757 Å, with angles of 90.00, 90.00 and 90.00 degrees. The asymmetric unit holds Li at (0.0000, 0.0000, 0.0000), Si at (0.2500, 0.2500, 0.7500), Ni at (0.0000, 0.0000, 0.5000) and B at (0.2500, 0.2500, 0.2500).



*Q*
Compound: LiSiNiB
Source: the Open Quantum Materials Database
Functional: PBE
Structure: optimized geometry

The total magnetization is 0.0 μB/cell. The density is 4.46 g/cm3.

The space group is F-43m (No. 216) and the conventional cell measures 5.3780, 5.3780 and 5.3780 Å, with angles of 90.00, 90.00 and 90.00 degrees. The asymmetric unit holds Li at (0.0000, 0.0000, 0.0000), Si at (0.0000, 0.0000, 0.5000), Ni at (0.2500, 0.2500, 0.2500) and B at (0.2500, 0.2500, 0.7500).



What should be chosen as the most stable of them? Choose *P*.



*P*
Compound: LiTaNiB
Source: the Open Quantum Materials Database
Functional: PBE
Structure: optimized geometry

The total magnetization is 0.0 μB/cell. The density is 9.65 g/cm3.

The space group is F-43m (No. 216) and the conventional cell measures 5.6158, 5.6158 and 5.6158 Å, with angles of 90.00, 90.00 and 90.00 degrees. The asymmetric unit holds Li at (0.0000, 0.0000, 0.0000), Ta at (0.2500, 0.2500, 0.7500), Ni at (0.0000, 0.0000, 0.5000) and B at (0.2500, 0.2500, 0.2500).



*Q*
Compound: LiTaNiB
Source: the Open Quantum Materials Database
Functional: PBE
Structure: optimized geometry

The total magnetization is 3.0 μB/cell. The density is 9.85 g/cm3.

The space group is F-43m (No. 216) and the conventional cell measures 5.5785, 5.5785 and 5.5785 Å, with angles of 90.00, 90.00 and 90.00 degrees. The asymmetric unit holds Li at (0.0000, 0.0000, 0.0000), Ta at (0.2500, 0.2500, 0.2500), Ni at (0.2500, 0.2500, 0.7500) and B at (0.0000, 0.0000, 0.5000).



*R*
Compound: LiTaNiB
Source: the Open Quantum Materials Database
Functional: PBE
Structure: optimized geometry

The total magnetization is 0.0 μB/cell. The density is 9.26 g/cm3.

The space group is F-43m (No. 216) and the conventional cell measures 5.6945, 5.6945 and 5.6945 Å, with angles of 90.00, 90.00 and 90.00 degrees. The asymmetric unit holds Li at (0.0000, 0.0000, 0.0000), Ta at (0.0000, 0.0000, 0.5000), Ni at (0.2500, 0.2500, 0.7500) and B at (0.2500, 0.2500, 0.2500).



What should be chosen as the most stable of them? Choose *R*.